[1]
IrOs2Cl: relaxed, PBE-GGA.

Calculated values
The relative energy among the computed polymorphs comes out at 1.16 eV/f.u. The calculation puts the formation energy without anion corrections at 0.821 eV per atom.

Unit cell a=2.7831 b=3.5720 c=6.8506 alpha=90.00 beta=90.00 gamma=90.00
Last column: nearest neighbours and their distance in Å.
Fractional coordinates of all 4 atoms:
Ir (0.0000, 0.0000, 0.0000)  5 Os 2.66-2.67, 2 Ir 2.78
Os (0.0000, 0.0000, 0.3897)  6 Os 2.60-2.78, 1 Ir 2.67
Os (0.5000, 0.5000, 0.2028)  6 Os 2.60-2.78, 4 Ir 2.66
Cl (0.5000, 0.5000, 0.6797)  2 Cl 2.78, 4 Os 3.01

=====

[2]
Ir2OsCl: relaxed, PBE-GGA.

Calculated values
The relative energy among the computed polymorphs comes out at 2.69 eV/f.u. The calculation puts the formation energy without anion corrections at 1.140 eV per atom.

Unit cell a=4.6154 b=4.6154 c=4.6154 alpha=127.11 beta=127.11 gamma=78.08
Last column: nearest neighbours and their distance in Å.
Fractional coordinates of all 4 atoms:
Ir (0.2500, 0.7500, 0.5000)  4 Cl 2.73, 4 Os 2.73, 4 Ir 2.91
Ir (0.7500, 0.2500, 0.5000)  4 Cl 2.73, 4 Os 2.73, 4 Ir 2.91
Os (0.0000, 0.0000, 0.0000)  8 Ir 2.73, 4 Cl 2.91
Cl (0.5000, 0.5000, 0.0000)  8 Ir 2.73, 4 Os 2.91

=====

[3]
Ir2OsCl: relaxed, PBE-GGA.

Calculated values
The relative energy among the computed polymorphs comes out at 0.00 eV/f.u. The calculation puts the formation energy without anion corrections at 0.467 eV per atom.

Unit cell a=8.7626 b=8.7626 c=8.7626 alpha=18.66 beta=18.66 gamma=18.66
Last column: nearest neighbours and their distance in Å.
Fractional coordinates of all 4 atoms:
Ir (0.2480, 0.2480, 0.2480)  3 Os 2.66, 3 Cl 2.75, 6 Ir 2.84
Ir (0.7520, 0.7520, 0.7520)  3 Os 2.66, 3 Cl 2.75, 6 Ir 2.84
Os (0.5000, 0.5000, 0.5000)  6 Ir 2.66, 6 Os 2.84
Cl (0.0000, 0.0000, 0.0000)  6 Ir 2.75, 6 Cl 2.84

=====

[4]
Ir3OsCl: relaxed, PBE-GGA.

Calculated values
The relative energy among the computed polymorphs comes out at 0.13 eV/f.u. The calculation puts the formation energy without anion corrections at 1.992 eV per atom.

Unit cell a=4.3682 b=4.3682 c=4.3682 alpha=90.00 beta=90.00 gamma=90.00
Last column: nearest neighbours and their distance in Å.
Fractional coordinates of all 5 atoms:
Ir (0.0000, 0.0000, 0.5000)  2 Cl 2.18
Ir (0.0000, 0.5000, 0.0000)  2 Cl 2.18
Ir (0.5000, 0.0000, 0.0000)  2 Cl 2.18
Os (0.5000, 0.5000, 0.5000)  12 Ir 3.09
Cl (0.0000, 0.0000, 0.0000)  6 Ir 2.18

=====

[5]
Ir2OsCl: relaxed, PBE-GGA.

Calculated values
The relative energy among the computed polymorphs comes out at 1.21 eV/f.u. The calculation puts the formation energy without anion corrections at 0.768 eV per atom.

Unit cell a=3.8469 b=6.3440 c=6.3440 alpha=25.06 beta=90.00 gamma=90.00
Last column: nearest neighbours and their distance in Å.
Fractional coordinates of all 4 atoms:
Ir (0.0000, 0.0000, 0.0000)  4 Ir 2.50-2.75, 2 Cl 2.58
Ir (0.5000, 0.1291, 0.1291)  4 Ir 2.50-2.75, 4 Os 2.63
Os (0.0000, 0.7228, 0.7228)  2 Cl 2.58, 4 Ir 2.63, 2 Os 2.75
Cl (0.5000, 0.8613, 0.8613)  2 Os 2.58, 2 Ir 2.58, 2 Cl 2.75

=====

[6]
Ir2OsCl: relaxed, PBE-GGA.

Calculated values
The relative energy among the computed polymorphs comes out at 1.23 eV/f.u. The calculation puts the formation energy without anion corrections at 0.773 eV per atom.

Unit cell a=6.2365 b=6.2365 c=6.2365 alpha=154.70 beta=141.05 gamma=47.02
Last column: nearest neighbours and their distance in Å.
Fractional coordinates of all 4 atoms:
Ir (0.0000, 0.0000, 0.0000)  4 Cl 2.49, 2 Os 2.69, 2 Ir 2.73
Ir (0.7806, 0.2806, 0.5000)  4 Os 2.64, 4 Ir 2.73-2.86
Os (0.2024, 0.7024, 0.5000)  6 Ir 2.64-2.69, 2 Os 2.73
Cl (0.4946, 0.4946, 0.0000)  4 Ir 2.49, 2 Cl 2.73

=====

[7]
Ir2OsCl: relaxed, PBE-GGA.

Calculated values
The relative energy among the computed polymorphs comes out at 1.09 eV/f.u. The calculation puts the formation energy without anion corrections at 0.740 eV per atom.

Unit cell a=2.7890 b=3.5513 c=6.8326 alpha=90.00 beta=90.00 gamma=90.00
Last column: nearest neighbours and their distance in Å.
Fractional coordinates of all 4 atoms:
Ir (0.0000, 0.0000, 0.1984)  4 Os 2.63, 3 Ir 2.71-2.79
Ir (0.0000, 0.0000, 0.8016)  4 Os 2.63, 3 Ir 2.71-2.79
Os (0.5000, 0.5000, 0.0000)  8 Ir 2.63, 2 Os 2.79
Cl (0.5000, 0.5000, 0.5000)  2 Cl 2.79, 8 Ir 3.06

=====

[8]
IrOs2Cl: relaxed, PBE-GGA.

Calculated values
The relative energy among the computed polymorphs comes out at 1.49 eV/f.u. The calculation puts the formation energy without anion corrections at 0.904 eV per atom.

Unit cell a=2.8061 b=2.8061 c=9.1102 alpha=90.00 beta=90.00 gamma=122.05
Last column: nearest neighbours and their distance in Å.
Fractional coordinates of all 4 atoms:
Ir (0.0000, 0.0000, 0.0000)  4 Os 2.67, 6 Ir 2.72-2.81
Os (0.5000, 0.5000, 0.2523)  2 Cl 2.63, 2 Ir 2.67, 6 Os 2.72-2.81
Os (0.5000, 0.5000, 0.7477)  2 Cl 2.63, 2 Ir 2.67, 6 Os 2.72-2.81
Cl (0.0000, 0.0000, 0.5000)  4 Os 2.63, 6 Cl 2.72-2.81

=====

Calculated M_tot, 0.00 0.00 0.00 2.36 0.00 0.00 0.00 0.00 μB per cell (same order as the records).